This record from Alexandria via LeMat-Bulk describes BeH2Br2O after structural relaxation. The functional is PBE.

a = 14.5130 Å, b = 7.2480 Å, c = 4.6695 Å
α = 90.00°, β = 90.00°, γ = 90.00°
Last column: nearest neighbours and their distance in Å.
Space group Cmc2_1 (No. 36)
Asymmetric unit:
Be 0.0000 0.1341 0.0000 [4 per cell]  2 O 1.71-1.84
H 0.0554 0.1654 0.5309 [8 per cell]  1 O 1.04
Br 0.1252 0.2475 0.1573 [8 per cell]  1 H 2.10, 1 Be 2.12
O 0.0000 0.1046 0.6362 [4 per cell]  2 H 1.04

total energy	-99.9	eV/cell
total moment	0.00	Bohr magnetons per cell


This record from Alexandria via LeMat-Bulk describes Rb2BeHBr6 after structural relaxation. The functional is PBE.

a = 7.2938 Å, b = 7.2938 Å, c = 11.0443 Å
α = 90.00°, β = 90.00°, γ = 90.00°
Last column: nearest neighbours and their distance in Å.
Space group I4/mmm (No. 139)
Asymmetric unit:
Rb 0.0000 0.5000 0.2500 [4 per cell]  12 Br 3.71-3.79
Be 0.0000 0.0000 0.0000 [2 per cell]  2 Br 2.10
H 0.0000 0.0000 0.5000 [2 per cell]  4 Br 2.27
Br 0.0000 0.0000 0.1898 [4 per cell]  1 Be 2.10
Br 0.2198 0.2198 0.5000 [8 per cell]  1 H 2.27

total energy	-52.3	eV/cell
total moment	0.00	Bohr magnetons per cell


This record from Alexandria via LeMat-Bulk describes Be2HRhBr after structural relaxation. The functional is PBE.

a = 3.5585 Å, b = 3.5585 Å, c = 4.7219 Å
α = 90.00°, β = 90.00°, γ = 90.00°
Last column: nearest neighbours and their distance in Å.
Space group P4/mmm (No. 123)
Asymmetric unit:
Be 0.0000 0.5000 0.0000 [2 per cell]  2 H 1.78
H 0.0000 0.0000 0.0000 [1 per cell]  4 Be 1.78
Rh 0.5000 0.5000 0.5000 [1 per cell]  4 Br 2.52
Br 0.0000 0.0000 0.5000 [1 per cell]  2 H 2.36, 4 Rh 2.52

total energy	-16.7	eV/cell
total moment	0.00	Bohr magnetons per cell


This record from Alexandria via LeMat-Bulk describes BeHS2Br after structural relaxation. The functional is PBE.

a = 4.7953 Å, b = 4.7953 Å, c = 3.0959 Å
α = 90.00°, β = 90.00°, γ = 90.00°
Last column: nearest neighbours and their distance in Å.
Space group P4/mmm (No. 123)
Asymmetric unit:
Be 0.0000 0.0000 0.0000 [1 per cell]  2 H 1.55
H 0.0000 0.0000 0.5000 [1 per cell]  2 Be 1.55
S 0.0000 0.5000 0.0000 [2 per cell]  2 Be 2.40
Br 0.5000 0.5000 0.5000 [1 per cell]  8 S 2.85, 2 Br 3.10

total energy	-14.3	eV/cell
total moment	0.00	Bohr magnetons per cell


This record from Alexandria via LeMat-Bulk describes BeHSe2Br after structural relaxation. The functional is PBE.

a = 4.5307 Å, b = 4.5307 Å, c = 5.1418 Å
α = 90.00°, β = 90.00°, γ = 90.00°
Last column: nearest neighbours and their distance in Å.
Space group P4/mmm (No. 123)
Asymmetric unit:
Be 0.0000 0.0000 0.0000 [1 per cell]  4 Se 2.27
H 0.5000 0.5000 0.5000 [1 per cell]  4 Br 3.20, 8 Se 3.43
Se 0.0000 0.5000 0.0000 [2 per cell]  2 Be 2.27
Br 0.0000 0.0000 0.5000 [1 per cell]  2 Be 2.57

E above lowest polymorph	0.40	eV per formula unit
total energy	-12.5	eV/cell
total moment	1.84	Bohr magnetons per cell


This record from Alexandria via LeMat-Bulk describes BeHSe2Br after structural relaxation. The functional is PBE.

a = 3.8354 Å, b = 3.8354 Å, c = 7.0708 Å
α = 90.00°, β = 90.00°, γ = 90.00°
Last column: nearest neighbours and their distance in Å.
Space group P4/mmm (No. 123)
Asymmetric unit:
Be 0.0000 0.0000 0.0000 [1 per cell]  4 Br 2.71
H 0.5000 0.5000 0.5000 [1 per cell]  4 Se 1.92
Se 0.0000 0.5000 0.5000 [2 per cell]  2 H 1.92
Br 0.5000 0.5000 0.0000 [1 per cell]  4 Be 2.71

E above lowest polymorph	0.00	eV per formula unit
total energy	-12.9	eV/cell
total moment	0.00	Bohr magnetons per cell


Please write out number 5 again, unchanged.
This record from Alexandria via LeMat-Bulk describes BeHSe2Br after structural relaxation. The functional is PBE.

a = 4.5307 Å, b = 4.5307 Å, c = 5.1418 Å
α = 90.00°, β = 90.00°, γ = 90.00°
Last column: nearest neighbours and their distance in Å.
Space group P4/mmm (No. 123)
Asymmetric unit:
Be 0.0000 0.0000 0.0000 [1 per cell]  4 Se 2.27
H 0.5000 0.5000 0.5000 [1 per cell]  4 Br 3.20, 8 Se 3.43
Se 0.0000 0.5000 0.0000 [2 per cell]  2 Be 2.27
Br 0.0000 0.0000 0.5000 [1 per cell]  2 Be 2.57

E above lowest polymorph	0.40	eV per formula unit
total energy	-12.5	eV/cell
total moment	1.84	Bohr magnetons per cell


> What is the formula in the first record?

BeH2Br2O